No. 1
{
  "formula": "DyHgMo",
  "functional": "PBE",
  "state": "optimized geometry",
  "energy_ev_per_atom": -4.502,
  "de_polymorph_ev_per_atom": 0.000,
  "ef_ev_per_atom": 0.75,
  "lattice": [[6.755, 0.000, 0.000], [0.000, 6.755, 0.000], [0.000, 0.000, 6.755]],
  "species": ["Dy", "Dy", "Dy", "Dy", "Hg", "Hg", "Hg", "Hg", "Mo", "Mo", "Mo", "Mo"],
  "frac_coords": [[0.000, 0.000, 0.000], [0.000, 0.500, 0.500], [0.500, 0.000, 0.500], [0.500, 0.500, 0.000], [0.250, 0.250, 0.250], [0.250, 0.750, 0.750], [0.750, 0.250, 0.750], [0.750, 0.750, 0.250], [0.000, 0.000, 0.500], [0.000, 0.500, 0.000], [0.500, 0.000, 0.000], [0.500, 0.500, 0.500]]
}

---

No. 2
{
  "formula": "DyHgMo",
  "functional": "PBE",
  "state": "optimized geometry",
  "energy_ev_per_atom": -4.216,
  "de_polymorph_ev_per_atom": 0.286,
  "ef_ev_per_atom": 1.03,
  "lattice": [[6.840, 0.000, 0.000], [0.000, 6.840, 0.000], [0.000, 0.000, 6.840]],
  "species": ["Dy", "Dy", "Dy", "Dy", "Hg", "Hg", "Hg", "Hg", "Mo", "Mo", "Mo", "Mo"],
  "frac_coords": [[0.000, 0.000, 0.000], [0.000, 0.500, 0.500], [0.500, 0.000, 0.500], [0.500, 0.500, 0.000], [0.250, 0.250, 0.750], [0.250, 0.750, 0.250], [0.750, 0.250, 0.250], [0.750, 0.750, 0.750], [0.250, 0.250, 0.250], [0.250, 0.750, 0.750], [0.750, 0.250, 0.750], [0.750, 0.750, 0.250]]
}

---

No. 3
{
  "formula": "Dy3HgN",
  "functional": "PBE",
  "state": "optimized geometry",
  "energy_ev_per_atom": -5.407,
  "lattice": [[4.790, 0.000, 0.000], [0.000, 4.790, 0.000], [0.000, 0.000, 4.790]],
  "species": ["Dy", "Dy", "Dy", "Hg", "N"],
  "frac_coords": [[0.000, 0.000, 0.500], [0.000, 0.500, 0.000], [0.500, 0.000, 0.000], [0.500, 0.500, 0.500], [0.000, 0.000, 0.000]]
}

---

no.,magnetic moment (μB/atom)
1,0.792
2,1.031
3,0.002